(1)
This record from the Alexandria database describes a geometry-optimized NaLaCd2 structure. The functional is PBE-GGA.

Values from the calculation:
crystal system = tetragonal
final energy = -2.20 eV/atom
formation enthalpy at 0 K = -181 meV per atom
total moment = 0.29 μB/f.u.

a = 3.7512 Å, b = 3.7512 Å, c = 8.0458 Å
α = 90.00°, β = 90.00°, γ = 90.00°
Last column: nearest neighbours and their distance in Å.
Space group P4/mmm (No. 123)
One atom of each set of equivalent atoms:
Na: 0.0000 0.0000 0.0000 [1 per cell]  8 Cd 3.27
La: 0.0000 0.0000 0.5000 [1 per cell]  8 Cd 3.39, 4 La 3.75
Cd: 0.5000 0.5000 0.2369 [2 per cell]  4 Na 3.27, 4 La 3.39

=====

(2)
This record from the Alexandria database describes a geometry-optimized Na2LaCd2 structure. The functional is PBE-GGA.

Values from the calculation:
crystal system = tetragonal
distance to the lowest polymorph of the same formula = 94.3 meV per atom
final energy = -1.87 eV/atom
formation enthalpy at 0 K = 12 meV per atom
total moment = 0.00 μB/f.u.

a = 8.4732 Å, b = 8.4732 Å, c = 4.2349 Å
α = 90.00°, β = 90.00°, γ = 90.00°
Last column: nearest neighbours and their distance in Å.
Space group P4/mbm (No. 127)
One atom of each set of equivalent atoms:
Na: 0.1690 0.3310 0.0000 [4 per cell]  6 Cd 3.26-3.28
La: 0.0000 0.0000 0.5000 [2 per cell]  4 Cd 3.36
Cd: 0.1239 0.6239 0.5000 [4 per cell]  1 Cd 2.97, 6 Na 3.26-3.28

=====

(3)
This record from the Alexandria database describes a geometry-optimized Na2LaCd2 structure. The functional is PBE-GGA.

Values from the calculation:
crystal system = tetragonal
distance to the lowest polymorph of the same formula = 0.0 meV per atom
final energy = -1.96 eV/atom
formation enthalpy at 0 K = -83 meV per atom
total moment = 0.20 μB/f.u.

a = 4.4063 Å, b = 4.4063 Å, c = 15.2514 Å
α = 90.00°, β = 90.00°, γ = 90.00°
Last column: nearest neighbours and their distance in Å.
Space group I4/mmm (No. 139)
One atom of each set of equivalent atoms:
Na: 0.0000 0.5000 0.2500 [4 per cell]  4 Na 3.12, 4 Cd 3.20
La: 0.0000 0.0000 0.0000 [2 per cell]  8 Cd 3.45
Cd: 0.0000 0.0000 0.4026 [4 per cell]  1 Cd 2.97, 4 Na 3.20

=====

(4)
This record from the Alexandria database describes a geometry-optimized Na2LaCd9 structure. The functional is PBE-GGA.

Values from the calculation:
crystal system = trigonal
final energy = -1.47 eV/atom
formation enthalpy at 0 K = -150 meV per atom
total moment = 0.00 μB/f.u.

a = 5.9692 Å, b = 5.9692 Å, c = 29.1283 Å
α = 90.00°, β = 90.00°, γ = 120.00°
Last column: nearest neighbours and their distance in Å.
Space group R-3m (No. 166, hexagonal axes)
One atom of each set of equivalent atoms:
Na: 0.0000 0.0000 0.1430 [6 per cell]  12 Cd 3.43-3.51, 3 Na 3.71
La: 0.0000 0.0000 0.0000 [3 per cell]  6 Cd 3.45
Cd: 0.0000 0.0000 0.3348 [6 per cell]  6 Cd 3.00-3.03
Cd: 0.0000 0.0000 0.5000 [3 per cell]  6 Cd 2.95
Cd: 0.0062 0.5031 0.9149 [18 per cell]  7 Cd 2.93-3.04

=====

(5)
This record from the Alexandria database describes a geometry-optimized NaLa5Cd6 structure. The functional is PBE-GGA.

Values from the calculation:
crystal system = monoclinic
final energy = -2.90 eV/atom
formation enthalpy at 0 K = -282 meV per atom
total moment = 0.77 μB/f.u.

a = 17.5069 Å, b = 7.8013 Å, c = 5.5247 Å
α = 90.00°, β = 108.35°, γ = 90.00°
Last column: nearest neighbours and their distance in Å.
Space group C2/m (No. 12)
One atom of each set of equivalent atoms:
Na: 0.0000 0.0000 0.0000 [2 per cell]  8 Cd 3.31-3.35
La: 0.0000 0.5000 0.0000 [2 per cell]  8 Cd 3.37-3.41
La: 0.1670 0.0000 0.6676 [4 per cell]  8 Cd 3.35-3.46
La: 0.1668 0.5000 0.6672 [4 per cell]  8 Cd 3.41-3.42
Cd: 0.0000 0.2426 0.5000 [4 per cell]  2 Na 3.35, 6 La 3.36-3.42
Cd: 0.1628 0.2434 0.1635 [8 per cell]  1 Na 3.31, 7 La 3.35-3.46

=====

(6)
This record from the Alexandria database describes a geometry-optimized NaLaCd2 structure. The functional is PBE-GGA.

Values from the calculation:
crystal system = tetragonal
final energy = -1.88 eV/atom
formation enthalpy at 0 K = 144 meV per atom
total moment = 0.00 μB/f.u.

a = 4.8655 Å, b = 4.8655 Å, c = 21.0869 Å
α = 90.00°, β = 90.00°, γ = 90.00°
Last column: nearest neighbours and their distance in Å.
Space group I-42d (No. 122)
One atom of each set of equivalent atoms:
Na: 0.0000 0.0000 0.0000 [4 per cell]  4 Cd 3.03
La: 0.0000 0.0000 0.5000 [4 per cell]  4 Cd 3.30, 4 Na 3.44
Cd: 0.1772 0.2500 0.1250 [8 per cell]  2 Cd 2.98, 2 Na 3.03, 2 La 3.30

=====

(7)
This record from the Alexandria database describes a geometry-optimized NaLaCd2 structure. The functional is PBE-GGA.

Values from the calculation:
crystal system = trigonal
final energy = -1.88 eV/atom
formation enthalpy at 0 K = 137 meV per atom
total moment = 0.23 μB/f.u.

a = 3.3810 Å, b = 3.3810 Å, c = 36.3152 Å
α = 90.00°, β = 90.00°, γ = 120.00°
Last column: nearest neighbours and their distance in Å.
Space group R-3m (No. 166, hexagonal axes)
One atom of each set of equivalent atoms:
Na: 0.0000 0.0000 0.0000 [3 per cell]  6 Cd 3.34, 6 Na 3.38
La: 0.0000 0.0000 0.5000 [3 per cell]  2 Cd 3.34, 6 La 3.38
Cd: 0.0000 0.0000 0.4081 [6 per cell]  1 La 3.34, 3 Na 3.34, 6 Cd 3.38

=====

(8)
This record from the Alexandria database describes a geometry-optimized Na2LaCd2 structure. The functional is PBE-GGA.

Values from the calculation:
crystal system = tetragonal
distance to the lowest polymorph of the same formula = 29.5 meV per atom
final energy = -1.93 eV/atom
formation enthalpy at 0 K = -53 meV per atom
total moment = 0.47 μB/f.u.

a = 9.0621 Å, b = 9.0621 Å, c = 3.3539 Å
α = 90.00°, β = 90.00°, γ = 90.00°
Last column: nearest neighbours and their distance in Å.
Space group P4/mbm (No. 127)
One atom of each set of equivalent atoms:
Na: 0.1159 0.3841 0.0000 [4 per cell]  1 Na 2.97, 6 Cd 3.04-3.27
La: 0.0000 0.0000 0.0000 [2 per cell]  2 La 3.35, 4 Na 3.64, 8 Cd 3.71
Cd: 0.1858 0.6858 0.5000 [4 per cell]  6 Na 3.04-3.27, 2 Cd 3.35